No. 1
Here is La2TaBr after structural relaxation from the Alexandria database. Energies are from PBE.

abc: 4.382 4.382 11.370
angles: 90.00 90.00 90.00
Element x y z (fractional)
La  0.000  0.000  0.000
La  0.000  0.500  0.250
La  0.500  0.000  0.750
La  0.500  0.500  0.500
Ta  0.000  0.500  0.750
Ta  0.500  0.000  0.250
Br  0.000  0.000  0.500
Br  0.500  0.500  0.000

Values from the calculation:
The calculated density comes out at 8.2 g/cm³. The value obtained for the formation energy (no corrections) is 0.241 eV per atom. As for the space-group type: No. 119. Its density of states at the Fermi level is 6.380 states/eV/f.u. For the energy relative to the lowest polymorph listed for this composition, the calculation gives 514 meV per atom.

***

No. 2
Here is Ag4Hg after structural relaxation from the Alexandria database. Energies are from PBE.

abc: 8.237 5.688 4.878
angles: 90.00 115.66 90.00
Element x y z (fractional)
Ag  0.113  0.000  0.359
Ag  0.250  0.250  0.000
Ag  0.250  0.750  0.000
Ag  0.387  0.500  0.641
Ag  0.613  0.500  0.359
Ag  0.750  0.250  0.000
Ag  0.750  0.750  0.000
Ag  0.887  0.000  0.641
Hg  0.000  0.500  0.500
Hg  0.500  0.000  0.500

Values from the calculation:
The calculated density comes out at 10.2 g/cm³. For the formation energy, the calculation gives 127 meV/atom. As for the space-group type: No. 12. Its density of states at the Fermi level is 1.726 states/eV/f.u. For the energy relative to the lowest polymorph listed for this composition, the calculation gives 94 meV per atom.

***

No. 3
Here is La4Tb7Th after structural relaxation from the Alexandria database. Energies are from PBE.

abc: 3.631 3.631 35.323
angles: 90.00 90.00 120.00
Element x y z (fractional)
La  0.333  0.667  0.166
La  0.333  0.667  0.416
La  0.667  0.333  0.584
La  0.667  0.333  0.834
Tb  0.000  0.000  0.250
Tb  0.000  0.000  0.500
Tb  0.000  0.000  0.750
Tb  0.333  0.667  0.669
Tb  0.333  0.667  0.921
Tb  0.667  0.333  0.079
Tb  0.667  0.333  0.331
Th  0.000  0.000  0.000

Values from the calculation:
The calculated density comes out at 7.8 g/cm³. For the formation energy, the calculation gives 16 meV/atom. As for the space-group type: No. 164. Its density of states at the Fermi level is 17.136 states/eV/f.u. For the energy relative to the lowest polymorph listed for this composition, the calculation gives 0 meV per atom.

***

No. 4
Here is Mg3ZnAg6 after structural relaxation from the Alexandria database. Energies are from PBE.

abc: 7.805 4.745 10.292
angles: 90.00 110.72 90.00
Element x y z (fractional)
Mg  0.050  0.250  0.383
Mg  0.141  0.750  0.219
Mg  0.273  0.250  0.986
Mg  0.727  0.750  0.014
Mg  0.859  0.250  0.781
Mg  0.950  0.750  0.617
Zn  0.458  0.250  0.580
Zn  0.542  0.750  0.420
Ag  0.032  0.750  0.920
Ag  0.164  0.250  0.677
Ag  0.251  0.750  0.518
Ag  0.336  0.750  0.827
Ag  0.366  0.250  0.291
Ag  0.442  0.750  0.133
Ag  0.558  0.250  0.867
Ag  0.634  0.750  0.709
Ag  0.664  0.250  0.173
Ag  0.749  0.250  0.482
Ag  0.836  0.750  0.323
Ag  0.968  0.250  0.080

Values from the calculation:
The calculated density comes out at 7.3 g/cm³. For the formation energy, the calculation gives -159 meV/atom. As for the space-group type: No. 11. Its density of states at the Fermi level is 2.006 states/eV/f.u. For the energy relative to the lowest polymorph listed for this composition, the calculation gives 0 meV per atom.

***

No. 5
Here is LaMg2H7 after structural relaxation from the Alexandria database. Energies are from PBE.

abc: 6.310 6.310 9.500
angles: 90.00 90.00 90.00
Element x y z (fractional)
La  0.228  0.228  0.000
La  0.272  0.728  0.250
La  0.728  0.272  0.750
La  0.772  0.772  0.500
Mg  0.023  0.738  0.900
Mg  0.238  0.477  0.650
Mg  0.262  0.977  0.600
Mg  0.477  0.238  0.350
Mg  0.523  0.762  0.850
Mg  0.738  0.023  0.100
Mg  0.762  0.523  0.150
Mg  0.977  0.262  0.400
H  0.033  0.963  0.121
H  0.037  0.967  0.379
H  0.062  0.432  0.823
H  0.068  0.562  0.073
H  0.163  0.698  0.504
H  0.198  0.337  0.254
H  0.240  0.760  0.750
H  0.260  0.260  0.500
H  0.302  0.837  0.996
H  0.337  0.198  0.746
H  0.432  0.062  0.177
H  0.438  0.932  0.427
H  0.463  0.467  0.871
H  0.467  0.463  0.129
H  0.533  0.537  0.629
H  0.537  0.533  0.371
H  0.562  0.068  0.927
H  0.568  0.938  0.677
H  0.663  0.802  0.246
H  0.698  0.163  0.496
H  0.740  0.740  0.000
H  0.760  0.240  0.250
H  0.802  0.663  0.754
H  0.837  0.302  0.004
H  0.932  0.438  0.573
H  0.938  0.568  0.323
H  0.963  0.033  0.879
H  0.967  0.037  0.621

Values from the calculation:
The calculated density comes out at 3.4 g/cm³. As for the space-group type: No. 92. Its density of states at the Fermi level is 0.000 states/eV/f.u. For the energy relative to the lowest polymorph listed for this composition, the calculation gives 0 meV per atom.

***

No. 6
Here is BaCa4Pm after structural relaxation from the Alexandria database. Energies are from PBE.

abc: 7.279 7.279 7.279
angles: 60.00 60.00 60.00
Element x y z (fractional)
Ba  0.000  0.000  0.000
Ca  0.376  0.376  0.376
Ca  0.376  0.376  0.872
Ca  0.376  0.872  0.376
Ca  0.872  0.376  0.376
Pm  0.750  0.750  0.750

Values from the calculation:
The calculated density comes out at 2.7 g/cm³. For the formation energy, the calculation gives 192 meV/atom. As for the space-group type: No. 216. Its density of states at the Fermi level is 10.219 states/eV/f.u.